i.
Mg3ReAu: relaxed, PBE.

Output
space-group type	Pm-3m (221)
density of states at the Fermi level	4.54	states/eV/f.u.
theoretical density	6.33	g cm⁻³

```
Mg3ReAu
1.0
-1.422 4.429 1.629
-4.146 -0.359 -2.641
-2.255 -2.132 3.829
Re Mg Au
1 3 1
Direct
0.500 0.500 0.500
0.000 0.500 0.000
0.000 0.000 0.500
0.500 0.000 0.000
0.000 0.000 0.000
```

ii.
Mg3ReAu: relaxed, PBE.

Output
space-group type	Pm-3m (221)
density of states at the Fermi level	5.69	states/eV/f.u.
theoretical density	5.93	g cm⁻³

```
Mg3ReAu
1.0
-2.737 -3.333 2.598
3.960 -0.942 2.963
-1.476 3.655 3.133
Re Mg Au
1 3 1
Direct
0.000 0.000 0.000
0.000 0.500 0.000
0.000 0.000 0.500
0.500 0.000 0.000
0.500 0.500 0.500
```

The structure with the least stability is ii.

i.
Mg2ReAu: relaxed, PBE.

Output
space-group type	P4/mmm (123)
density of states at the Fermi level	2.37	states/eV/f.u.
theoretical density	10.65	g cm⁻³

```
Mg2ReAu
1.0
2.794 0.000 0.000
0.000 2.794 0.000
0.000 0.000 8.627
Au Mg Re
1 2 1
Direct
0.500 0.500 0.750
0.000 0.000 0.001
0.000 0.000 0.499
0.500 0.500 0.250
```

ii.
Mg2ReAu: relaxed, PBE.

Output
space-group type	Pmmm (47)
density of states at the Fermi level	2.73	states/eV/f.u.
theoretical density	10.66	g cm⁻³

```
Mg2ReAu
1.0
-1.189 -2.546 0.590
0.050 -0.879 -3.692
5.619 -2.469 0.664
Au Mg Re
1 2 1
Direct
0.500 0.500 0.750
0.000 0.000 0.004
0.000 0.000 0.496
0.500 0.500 0.250
```

iii.
Mg2ReAu: relaxed, PBE.

Output
space-group type	I-42d (122)
density of states at the Fermi level	2.45	states/eV/f.u.
theoretical density	9.56	g cm⁻³

```
Mg2ReAu
1.0
7.314 0.000 0.000
0.000 7.314 0.000
3.657 3.657 2.805
Re Mg Au
2 4 2
Direct
0.500 0.500 0.000
0.250 0.750 0.500
0.639 0.125 0.250
0.111 0.625 0.250
0.375 0.361 0.750
0.875 0.889 0.750
0.000 0.000 0.000
0.750 0.250 0.500
```

iv.
Mg2ReAu: relaxed, PBE.

Output
space-group type	P4mm (99)
density of states at the Fermi level	2.26	states/eV/f.u.
theoretical density	10.18	g cm⁻³

```
Mg2ReAu
1.0
2.810 0.000 0.000
0.000 2.810 0.000
0.000 0.000 8.918
Au Mg Re
1 2 1
Direct
0.500 0.500 0.746
0.000 0.000 0.980
0.500 0.500 0.270
0.000 0.000 0.504
```

The structure with the least stability is iii.

i.
Mg2ReAu: relaxed, PBE.

Output
space-group type	Cmmm (65)
density of states at the Fermi level	2.40	states/eV/f.u.
theoretical density	10.60	g cm⁻³

```
Mg2ReAu
1.0
5.088 -0.005 0.000
-1.644 4.815 0.000
0.000 0.000 2.763
Au Mg Re
1 2 1
Direct
0.000 0.500 0.500
0.000 0.000 0.000
0.500 0.500 0.000
0.500 0.000 0.500
```

ii.
Mg2ReAu: relaxed, PBE.

Output
space-group type	P4/mmm (123)
density of states at the Fermi level	2.36	states/eV/f.u.
theoretical density	10.70	g cm⁻³

```
Mg2ReAu
1.0
3.840 0.000 0.000
0.000 4.176 0.000
0.000 0.000 4.176
Au Mg Re
1 2 1
Direct
0.500 0.000 0.500
0.000 0.000 0.000
0.000 0.500 0.500
0.500 0.500 0.000
```

iii.
Mg2ReAu: relaxed, PBE.

Output
space-group type	Cmm2 (35)
density of states at the Fermi level	1.24	states/eV/f.u.
theoretical density	10.23	g cm⁻³

```
Mg2ReAu
1.0
-1.172 -2.474 0.578
2.695 -0.502 0.560
-1.305 2.643 8.661
Au Mg Re
1 2 1
Direct
0.500 0.500 0.749
0.000 0.000 0.983
0.500 0.500 0.267
0.000 0.000 0.501
```

iv.
Mg2ReAu: relaxed, PBE.

Output
space-group type	Pmm2 (25)
density of states at the Fermi level	3.48	states/eV/f.u.
theoretical density	10.51	g cm⁻³

```
Mg2ReAu
1.0
-0.318 -4.059 -2.576
-0.660 -1.411 2.305
-4.934 0.922 -0.844
Au Mg Re
1 2 1
Direct
0.500 0.625 0.788
0.000 0.124 0.954
0.500 0.126 0.302
0.000 0.625 0.455
```

The structure with the least stability is iii.